Entry 1:
First-principles (GGA-PBE) data for a relaxed LiScAl2 crystal, as listed in the Alexandria database.

```
LiScAl2
1.0
1.5122 0.8731 9.5425
-1.5122 0.8731 9.5425
0.0000 -1.7462 9.5425
Li Sc Al
1 1 2
direct
0.0000 0.0000 0.0000
0.5000 0.5000 0.5000
0.2519 0.2519 0.2519
0.7481 0.7481 0.7481
```

Calculated values
symmetry = R-3m (166)
ΔE_f = -0.096 eV per atom
E = -0.148 Ha/atom

Entry 2:
First-principles (GGA-PBE) data for a relaxed Lu3Ir crystal, as listed in the Alexandria database.

```
Lu3Ir
1.0
3.2957 0.0000 0.0000
0.0000 3.5941 0.0000
0.0000 0.0000 9.0198
Lu Ir
3 1
direct
0.0000 0.0000 0.0000
0.0000 0.5000 0.3411
0.5000 0.5000 0.7181
0.5000 0.0000 0.4911
```

Calculated values
symmetry = Pmm2 (25)
ΔE_f = -0.232 eV per atom
E = -0.215 Ha/atom

Entry 3:
First-principles (GGA-PBE) data for a relaxed ErPu2Bi crystal, as listed in the Alexandria database.

```
ErPu2Bi
1.0
4.5971 0.0000 0.0000
0.0000 4.5971 0.0000
0.0000 0.0000 5.2010
Er Pu Bi
1 2 1
direct
0.0000 0.0000 0.0000
0.0000 0.5000 0.5000
0.5000 0.0000 0.5000
0.5000 0.5000 0.0000
```

Calculated values
symmetry = P4/mmm (123)
ΔE_f = -0.245 eV per atom
E = -0.350 Ha/atom

Entry 4:
First-principles (GGA-PBE) data for a relaxed CeErTlPb crystal, as listed in the Alexandria database.

```
CeErTlPb
1.0
-2.5281 2.5281 4.4350
2.5281 -2.5281 4.4350
2.5281 2.5281 -4.4350
Ce Er Tl Pb
1 1 1 1
direct
0.0000 0.0000 0.0000
0.5000 0.5000 0.0000
0.7500 0.2500 0.5000
0.2500 0.7500 0.5000
```

Calculated values
symmetry = I-4m2 (119)
ΔE_f = -0.338 eV per atom
energy above the lowest structure with this stoichiometry = 0 meV per atom
E = -0.165 Ha/atom

Entry 5:
First-principles (GGA-PBE) data for a relaxed PuPa2W crystal, as listed in the Alexandria database.

```
PuPa2W
1.0
1.5077 0.8705 11.0545
-1.5077 0.8705 11.0545
0.0000 -1.7410 11.0545
Pu Pa W
1 2 1
direct
0.0000 0.0000 0.0000
0.0880 0.0880 0.0880
0.9120 0.9120 0.9120
0.5000 0.5000 0.5000
```

Calculated values
symmetry = R-3m (166)
ΔE_f = 0.484 eV per atom
energy above the lowest structure with this stoichiometry = 286 meV per atom
E = -0.407 Ha/atom

Entry 6:
First-principles (GGA-PBE) data for a relaxed UMnRuPt crystal, as listed in the Alexandria database.

```
UMnRuPt
1.0
0.0000 3.2676 3.2676
3.2676 0.0000 3.2676
3.2676 3.2676 0.0000
U Mn Ru Pt
1 1 1 1
direct
0.0000 0.0000 0.0000
0.5000 0.5000 0.5000
0.7500 0.7500 0.7500
0.2500 0.2500 0.2500
```

Calculated values
symmetry = F-43m (216)
ΔE_f = -0.199 eV per atom
E = -0.336 Ha/atom

Entry 7:
First-principles (GGA-PBE) data for a relaxed ZrCoTc crystal, as listed in the Alexandria database.

```
ZrCoTc
1.0
-1.4072 1.4072 5.8669
1.4072 -1.4072 5.8669
1.4072 1.4072 -5.8669
Zr Co Tc
1 1 1
direct
0.0000 0.0000 0.0000
0.3247 0.3247 0.0000
0.6963 0.6963 0.0000
```

Calculated values
symmetry = I4mm (107)
ΔE_f = 0.000 eV per atom
energy above the lowest structure with this stoichiometry = 293 meV per atom
E = -0.319 Ha/atom

Entry 8:
First-principles (GGA-PBE) data for a relaxed RbNa10Tl3 crystal, as listed in the Alexandria database.

```
RbNa10Tl3
1.0
0.0000 8.1908 8.1908
8.1908 0.0000 8.1908
8.1908 8.1908 0.0000
Rb Na Tl
2 20 6
direct
0.2500 0.2500 0.2500
0.7500 0.7500 0.7500
0.0000 0.0000 0.3366
0.0000 0.0000 0.6634
0.0000 0.3366 0.0000
0.0000 0.3366 0.6634
0.0000 0.6634 0.0000
0.0000 0.6634 0.3366
0.1664 0.6112 0.6112
0.3366 0.0000 0.0000
0.3366 0.0000 0.6634
0.3366 0.6634 0.0000
0.3888 0.3888 0.3888
0.3888 0.3888 0.8336
0.3888 0.8336 0.3888
0.6112 0.1664 0.6112
0.6112 0.6112 0.1664
0.6112 0.6112 0.6112
0.6634 0.0000 0.0000
0.6634 0.0000 0.3366
0.6634 0.3366 0.0000
0.8336 0.3888 0.3888
0.2665 0.2665 0.7335
0.2665 0.7335 0.2665
0.2665 0.7335 0.7335
0.7335 0.2665 0.2665
0.7335 0.2665 0.7335
0.7335 0.7335 0.2665
```

Calculated values
symmetry = Fm-3m (225)
ΔE_f = -0.007 eV per atom
E = -0.056 Ha/atom

Entry 9:
First-principles (GGA-PBE) data for a relaxed CeSmSn6 crystal, as listed in the Alexandria database.

```
CeSmSn6
1.0
4.7343 0.0000 0.0000
0.0000 4.7343 0.0000
0.0000 0.0000 9.4647
Ce Sm Sn
1 1 6
direct
0.0000 0.0000 0.0000
0.0000 0.0000 0.5000
0.0000 0.5000 0.2488
0.0000 0.5000 0.7512
0.5000 0.0000 0.2488
0.5000 0.0000 0.7512
0.5000 0.5000 0.0000
0.5000 0.5000 0.5000
```

Calculated values
symmetry = P4/mmm (123)
ΔE_f = -0.505 eV per atom
E = -0.178 Ha/atom

Entry 10:
First-principles (GGA-PBE) data for a relaxed AcNi2AsH2 crystal, as listed in the Alexandria database.

```
AcNi2AsH2
1.0
6.1371 0.0000 0.0000
0.0000 5.0533 0.0000
-2.1564 0.0000 5.8991
Ac Ni As H
2 4 2 4
direct
0.1781 0.2500 0.3130
0.8219 0.7500 0.6870
0.3290 0.0004 0.8026
0.3290 0.4996 0.8026
0.6710 0.9996 0.1974
0.6710 0.5004 0.1974
0.3259 0.7500 0.1222
0.6741 0.2500 0.8778
0.1406 0.2500 0.7305
0.2655 0.7500 0.6194
0.7345 0.2500 0.3806
0.8594 0.7500 0.2695
```

Calculated values
symmetry = P2_1/m (11)
E = -0.184 Ha/atom

Entry 11:
First-principles (GGA-PBE) data for a relaxed Tm3Th2Se6 crystal, as listed in the Alexandria database.

```
Tm3Th2Se6
1.0
3.5108 -6.1114 0.0000
3.5108 6.1114 0.0000
-2.3702 0.0000 6.7042
Tm Th Se
3 2 6
direct
0.0000 0.0000 0.0000
0.3329 0.6671 0.0000
0.6671 0.3329 0.0000
0.1657 0.8343 0.5000
0.8343 0.1657 0.5000
0.0906 0.4135 0.2392
0.2653 0.2653 0.7574
0.4135 0.0906 0.2392
0.5865 0.9094 0.7608
0.7347 0.7347 0.2426
0.9094 0.5865 0.7608
```

Calculated values
symmetry = C2/m (12)
raw formation energy = -1.7153 eV/atom
E = -0.227 Ha/atom

Entry 12:
First-principles (GGA-PBE) data for a relaxed Tl3In6Ga5 crystal, as listed in the Alexandria database.

```
Tl3In6Ga5
1.0
4.9780 0.0000 0.0000
0.0000 14.0362 0.0000
0.0000 0.0000 10.3330
Tl In Ga
6 12 10
direct
0.2500 0.0302 0.2473
0.2500 0.4698 0.2473
0.2500 0.7500 0.2466
0.7500 0.2500 0.7534
0.7500 0.5302 0.7527
0.7500 0.9698 0.7527
0.2500 0.0902 0.8936
0.2500 0.2500 0.0942
0.2500 0.2500 0.4166
0.2500 0.4098 0.8936
0.2500 0.5948 0.5379
0.2500 0.9052 0.5379
0.7500 0.0948 0.4621
0.7500 0.4052 0.4621
0.7500 0.5902 0.1064
0.7500 0.7500 0.5834
0.7500 0.7500 0.9058
0.7500 0.9098 0.1064
0.2500 0.1077 0.6203
0.2500 0.3923 0.6203
0.2500 0.6148 0.9498
0.2500 0.7500 0.7462
0.2500 0.8852 0.9498
0.7500 0.1148 0.0502
0.7500 0.2500 0.2538
0.7500 0.3852 0.0502
0.7500 0.6077 0.3797
0.7500 0.8923 0.3797
```

Calculated values
symmetry = Pmmn (59)
ΔE_f = 0.045 eV per atom
E = -0.100 Ha/atom

Entry 13:
First-principles (GGA-PBE) data for a relaxed CrNiSn2 crystal, as listed in the Alexandria database.

```
CrNiSn2
1.0
1.6422 0.9482 9.1860
-1.6422 0.9482 9.1860
0.0000 -1.8963 9.1860
Cr Ni Sn
1 1 2
direct
0.0000 0.0000 0.0000
0.5000 0.5000 0.5000
0.1002 0.1002 0.1002
0.8998 0.8998 0.8998
```

Calculated values
symmetry = R-3m (166)
ΔE_f = 0.422 eV per atom
energy above the lowest structure with this stoichiometry = 69 meV per atom
E = -0.200 Ha/atom

Entry 14:
First-principles (GGA-PBE) data for a relaxed ScPaCo crystal, as listed in the Alexandria database.

```
ScPaCo
1.0
-1.6860 1.6860 5.1534
1.6860 -1.6860 5.1534
1.6860 1.6860 -5.1534
Sc Pa Co
1 1 1
direct
0.0000 0.0000 0.0000
0.7038 0.7038 0.0000
0.3111 0.3111 0.0000
```

Calculated values
symmetry = I4mm (107)
ΔE_f = -0.156 eV per atom
energy above the lowest structure with this stoichiometry = 0 meV per atom
E = -0.287 Ha/atom

Entry 15:
First-principles (GGA-PBE) data for a relaxed CaHf2Be2 crystal, as listed in the Alexandria database.

```
CaHf2Be2
1.0
-2.2891 2.2891 5.0657
2.2891 -2.2891 5.0657
2.2891 2.2891 -5.0657
Ca Hf Be
1 2 2
direct
0.0000 0.0000 0.0000
0.3410 0.3410 0.0000
0.6590 0.6590 0.0000
0.2500 0.7500 0.5000
0.7500 0.2500 0.5000
```

Calculated values
symmetry = I4/mmm (139)
ΔE_f = 0.538 eV per atom
energy above the lowest structure with this stoichiometry = 254 meV per atom
E = -0.196 Ha/atom

Entry 16:
First-principles (GGA-PBE) data for a relaxed W5Br crystal, as listed in the Alexandria database.

```
W5Br
1.0
3.1468 0.0000 0.0000
0.0000 3.1468 0.0000
0.0000 0.0000 10.2581
W Br
5 1
direct
0.0000 0.0000 0.0000
0.0000 0.0000 0.3082
0.0000 0.0000 0.6918
0.5000 0.5000 0.1558
0.5000 0.5000 0.8442
0.5000 0.5000 0.5000
```

Calculated values
symmetry = P4/mmm (123)
energy above the lowest structure with this stoichiometry = 0 meV per atom
raw formation energy = 0.4903 eV/atom
E = -0.389 Ha/atom

Entry 17:
First-principles (GGA-PBE) data for a relaxed Al2Zn2Ru crystal, as listed in the Alexandria database.

```
Al2Zn2Ru
1.0
6.7376 0.0000 0.0000
0.0000 6.7376 0.0000
0.0000 0.0000 3.2382
Al Zn Ru
4 4 2
direct
0.1761 0.3239 0.0000
0.3239 0.8239 0.0000
0.6761 0.1761 0.0000
0.8239 0.6761 0.0000
0.1275 0.6275 0.5000
0.3725 0.1275 0.5000
0.6275 0.8725 0.5000
0.8725 0.3725 0.5000
0.0000 0.0000 0.5000
0.5000 0.5000 0.5000
```

Calculated values
symmetry = P4/mbm (127)
ΔE_f = 0.045 eV per atom
E = -0.140 Ha/atom

Entry 18:
First-principles (GGA-PBE) data for a relaxed MnAlIr2S crystal, as listed in the Alexandria database.

```
MnAlIr2S
1.0
4.4523 0.0000 0.0000
0.0000 4.4523 0.0000
0.0000 0.0000 4.3868
Mn Al Ir S
1 1 2 1
direct
0.0000 0.0000 0.0000
0.5000 0.5000 0.0000
0.0000 0.5000 0.5000
0.5000 0.0000 0.5000
0.5000 0.5000 0.5000
```

Calculated values
symmetry = P4/mmm (123)
raw formation energy = 0.7173 eV/atom
E = -0.229 Ha/atom

Entry 19:
First-principles (GGA-PBE) data for a relaxed Tb6PmTh3 crystal, as listed in the Alexandria database.

```
Tb6PmTh3
1.0
4.9537 2.8600 3.9940
-4.9537 2.8600 3.9940
0.0000 -5.7200 3.9940
Tb Pm Th
6 1 3
direct
0.0789 0.7469 0.4201
0.2531 0.5799 0.9211
0.4201 0.0789 0.7469
0.5799 0.9211 0.2531
0.7469 0.4201 0.0789
0.9211 0.2531 0.5799
0.0000 0.0000 0.0000
0.2485 0.2485 0.2485
0.5000 0.5000 0.5000
0.7515 0.7515 0.7515
```

Calculated values
symmetry = R-3 (148)
ΔE_f = 0.345 eV per atom
E = -0.189 Ha/atom

Entry 20:
First-principles (GGA-PBE) data for a relaxed NaLa2AsO5 crystal, as listed in the Alexandria database.

```
NaLa2AsO5
1.0
6.9276 0.0000 0.0000
0.0000 6.9276 0.0000
0.0000 0.0000 6.0282
Na La As O
2 4 2 10
direct
0.0000 0.0000 0.0000
0.5000 0.5000 0.0000
0.1784 0.3216 0.5000
0.3216 0.8216 0.5000
0.6784 0.1784 0.5000
0.8216 0.6784 0.5000
0.0000 0.5000 0.0000
0.5000 0.0000 0.0000
0.0000 0.0000 0.5000
0.1381 0.6381 0.2460
0.1381 0.6381 0.7540
0.3619 0.1381 0.2460
0.3619 0.1381 0.7540
0.5000 0.5000 0.5000
0.6381 0.8619 0.2460
0.6381 0.8619 0.7540
0.8619 0.3619 0.2460
0.8619 0.3619 0.7540
```

Calculated values
symmetry = P4/mbm (127)
raw formation energy = -2.2619 eV/atom
E = -0.249 Ha/atom